No. 1
# BaTeN2O (GGA-PBE, optimized geometry)
data_BaTeN2O
_chemical_formula_sum 'Ba1 Te1 N2 O1'
_cell_length_a 4.7376
_cell_length_b 4.7376
_cell_length_c 7.2620
_cell_angle_alpha 90.00
_cell_angle_beta 90.00
_cell_angle_gamma 90.00
_space_group_name_H-M_alt 'P 4/m m m'
_space_group_IT_number 123
_space_group_name_Hall '-P 4 2'
loop_
_atom_site_label
_atom_site_fract_x
_atom_site_fract_y
_atom_site_fract_z
Ba1 0.0000 0.0000 0.0000
Te1 0.0000 0.0000 0.5000
N1 0.0000 0.5000 0.0000
O1 0.5000 0.5000 0.5000
# Formation energy (no corrections) ... 2.048 eV/atom


No. 2
# YTl3Fe (GGA-PBE, optimized geometry)
data_YTl3Fe
_chemical_formula_sum 'Y1 Tl3 Fe1'
_cell_length_a 5.8462
_cell_length_b 5.8462
_cell_length_c 5.8462
_cell_angle_alpha 90.00
_cell_angle_beta 90.00
_cell_angle_gamma 90.00
_space_group_name_H-M_alt 'P m -3 m'
_space_group_IT_number 221
_space_group_name_Hall '-P 4 2 3'
loop_
_atom_site_label
_atom_site_fract_x
_atom_site_fract_y
_atom_site_fract_z
Y1 0.0000 0.0000 0.0000
Tl1 0.0000 0.0000 0.5000
Fe1 0.5000 0.5000 0.5000
# Calculated formation energy ... 1.50 eV per atom
# E above lowest polymorph ... 1.1804 eV per atom


No. 3
# TbU2Fe3 (GGA-PBE, optimized geometry)
data_TbU2Fe3
_chemical_formula_sum 'Tb4 U8 Fe12'
_cell_length_a 8.8681
_cell_length_b 7.6708
_cell_length_c 6.4149
_cell_angle_alpha 90.00
_cell_angle_beta 90.00
_cell_angle_gamma 90.00
_space_group_name_H-M_alt 'C m c m'
_space_group_IT_number 63
_space_group_name_Hall '-C 2c 2'
loop_
_atom_site_label
_atom_site_fract_x
_atom_site_fract_y
_atom_site_fract_z
Tb1 0.0000 0.1895 0.2500
U1 0.2037 0.5000 0.0000
Fe1 0.0000 0.4034 0.7500
Fe2 0.1643 0.1474 0.7500
# Calculated formation energy ... -0.06 eV per atom


No. 4
# GeAs2O (GGA-PBE, optimized geometry)
data_GeAs2O
_chemical_formula_sum 'Ge4 As8 O4'
_cell_length_a 5.0391
_cell_length_b 5.0391
_cell_length_c 12.5604
_cell_angle_alpha 90.00
_cell_angle_beta 90.00
_cell_angle_gamma 90.00
_space_group_name_H-M_alt 'I -4 2 d'
_space_group_IT_number 122
_space_group_name_Hall 'I -4 2bw'
loop_
_atom_site_label
_atom_site_fract_x
_atom_site_fract_y
_atom_site_fract_z
Ge1 0.0000 0.0000 0.0000
As1 0.1566 0.2500 0.6250
O1 0.0000 0.0000 0.5000
# Formation energy (no corrections) ... 0.005 eV/atom
# E above lowest polymorph ... 0.0000 eV per atom


- What is the formula in the third record?
  TbU2Fe3


- Number 3 is which compound?
  TbU2Fe3